Here is a relaxed structure of ZnHg2 from Alexandria via LeMat-Bulk. Energies are from PBE.

## Properties
total DFT energy (no corrections)	-0.3641	eV per atom
formation energy from the elements	0.262	eV per atom

Unit cell a=6.1927 b=6.1927 c=10.7722 alpha=90.00 beta=90.00 gamma=120.00
With the nearest neighbours (Å) after each atom.
Sites, in units of the cell vectors:
Zn1 0.3333 0.6667 0.0026  6 Hg 3.24-3.58, 3 Zn 3.58
Zn2 0.3333 0.6667 0.4974  6 Hg 3.24-3.58, 3 Zn 3.58
Zn3 0.6667 0.3333 0.5026  6 Hg 3.24-3.58, 3 Zn 3.58
Zn4 0.6667 0.3333 0.9974  6 Hg 3.24-3.58, 3 Zn 3.58
Hg1 0.0000 0.0000 0.0000  6 Hg 3.24, 6 Zn 3.58
Hg2 0.0000 0.0000 0.5000  6 Hg 3.24, 6 Zn 3.58
Hg3 0.1687 0.3374 0.7500  6 Hg 3.06-3.24, 2 Zn 3.24
Hg4 0.1687 0.8313 0.7500  6 Hg 3.06-3.24, 2 Zn 3.24
Hg5 0.3374 0.1687 0.2500  6 Hg 3.06-3.24, 2 Zn 3.24
Hg6 0.6626 0.8313 0.7500  6 Hg 3.06-3.24, 2 Zn 3.24
Hg7 0.8313 0.1687 0.2500  6 Hg 3.06-3.24, 2 Zn 3.24
Hg8 0.8313 0.6626 0.2500  6 Hg 3.06-3.24, 2 Zn 3.24


Here is a relaxed structure of ZnHg from Alexandria via LeMat-Bulk. Energies are from PBE.

## Properties
total DFT energy (no corrections)	-0.5852	eV per atom
formation energy from the elements	0.203	eV per atom

Unit cell a=7.4809 b=7.4809 c=7.4809 alpha=95.51 beta=95.51 gamma=143.90
With the nearest neighbours (Å) after each atom.
Sites, in units of the cell vectors:
Zn1 0.2035 0.2951 0.4986  2 Zn 2.66, 4 Hg 2.67-2.78
Zn2 0.2951 0.7965 0.0916  2 Zn 2.66, 4 Hg 2.67-2.78
Zn3 0.7049 0.2035 0.9084  2 Zn 2.66, 4 Hg 2.67-2.78
Zn4 0.7965 0.7049 0.5014  2 Zn 2.66, 4 Hg 2.67-2.78
Hg1 0.0585 0.6640 0.7225  4 Zn 2.67-2.78
Hg2 0.3360 0.0585 0.3945  4 Zn 2.67-2.78
Hg3 0.6640 0.9415 0.6055  4 Zn 2.67-2.78
Hg4 0.9415 0.3360 0.2775  4 Zn 2.67-2.78


Here is a relaxed structure of ZnHg from Alexandria via LeMat-Bulk. Energies are from PBE.

## Properties
total DFT energy (no corrections)	-0.7300	eV per atom
formation energy from the elements	0.058	eV per atom

Unit cell a=5.5918 b=5.5918 c=5.0119 alpha=90.00 beta=90.00 gamma=122.99
With the nearest neighbours (Å) after each atom.
Sites, in units of the cell vectors:
Zn1 0.0000 0.0000 0.0000  6 Hg 2.67-2.97, 4 Zn 2.80
Zn2 0.0000 0.5000 0.0000  4 Zn 2.67-2.80, 6 Hg 2.80-2.97
Zn3 0.5000 0.0000 0.0000  4 Zn 2.67-2.80, 6 Hg 2.80-2.97
Hg1 0.1613 0.8387 0.5000  6 Zn 2.97, 3 Hg 3.17-3.19
Hg2 0.5000 0.5000 0.0000  6 Zn 2.67-2.80
Hg3 0.8387 0.1613 0.5000  6 Zn 2.97, 3 Hg 3.17-3.19